Record 1
First-principles (PBE-GGA) data for a relaxed MgSc2Br2 crystal, as listed in the Alexandria database.

Cell: 7.0893 7.0893 7.0893 Å, 141.99 141.99 54.84°
Last column: nearest neighbours and their distance in Å.
Atoms (fractional coordinates):
Mg1 0.0000 0.0000 0.0000  8 Sc 3.58, 8 Br 3.90
Sc1 0.3842 0.3842 0.0000  4 Br 2.86, 1 Sc 2.91
Sc2 0.6158 0.6158 0.0000  4 Br 2.86, 1 Sc 2.91
Br1 0.2500 0.7500 0.5000  4 Sc 2.86
Br2 0.7500 0.2500 0.5000  4 Sc 2.86

Summary:
crystal system = tetragonal

=====

Record 2
First-principles (PBE-GGA) data for a relaxed Mg4ScBr crystal, as listed in the Alexandria database.

Cell: 5.9916 5.9916 5.9916 Å, 60.00 60.00 60.00°
Last column: nearest neighbours and their distance in Å.
Atoms (fractional coordinates):
Mg1 0.1228 0.1228 0.1228  6 Mg 2.94-3.05
Mg2 0.1228 0.1228 0.6317  6 Mg 2.94-3.05
Mg3 0.1228 0.6317 0.1228  6 Mg 2.94-3.05
Mg4 0.6317 0.1228 0.1228  6 Mg 2.94-3.05
Sc1 0.7500 0.7500 0.7500  12 Mg 3.51, 4 Br 3.67
Br1 0.5000 0.5000 0.5000  12 Mg 3.52, 4 Sc 3.67

Summary:
crystal system = cubic

=====

Record 3
First-principles (PBE-GGA) data for a relaxed MgSc2Br2 crystal, as listed in the Alexandria database.

Cell: 8.2500 8.2500 3.3845 Å, 90.00 90.00 90.00°
Last column: nearest neighbours and their distance in Å.
Atoms (fractional coordinates):
Mg1 0.0000 0.0000 0.0000  4 Sc 3.14, 2 Mg 3.38
Mg2 0.5000 0.5000 0.0000  4 Sc 3.14, 2 Mg 3.38
Sc1 0.1506 0.3494 0.0000  6 Br 2.91-3.01, 2 Mg 3.14
Sc2 0.3494 0.8494 0.0000  6 Br 2.91-3.01, 2 Mg 3.14
Sc3 0.6506 0.1506 0.0000  6 Br 2.91-3.01, 2 Mg 3.14
Sc4 0.8494 0.6506 0.0000  6 Br 2.91-3.01, 2 Mg 3.14
Br1 0.1356 0.6356 0.5000  6 Sc 2.91-3.01, 1 Br 3.16
Br2 0.3644 0.1356 0.5000  6 Sc 2.91-3.01, 1 Br 3.16
Br3 0.6356 0.8644 0.5000  6 Sc 2.91-3.01, 1 Br 3.16
Br4 0.8644 0.3644 0.5000  6 Sc 2.91-3.01, 1 Br 3.16

Summary:
crystal system = tetragonal

=====

Record 4
First-principles (PBE-GGA) data for a relaxed MgScBr crystal, as listed in the Alexandria database.

Cell: 7.4475 7.4475 7.4475 Å, 153.69 153.69 37.55°
Last column: nearest neighbours and their distance in Å.
Atoms (fractional coordinates):
Mg1 0.0000 0.0000 0.0000  4 Sc 3.17, 4 Mg 3.39
Sc1 0.6474 0.6474 0.0000  4 Br 2.89, 4 Mg 3.17
Br1 0.2613 0.2613 0.0000  4 Sc 2.89

Summary:
crystal system = tetragonal

=====

Record 5
First-principles (PBE-GGA) data for a relaxed MgScBr6 crystal, as listed in the Alexandria database.

Cell: 6.7114 6.7139 7.1060 Å, 62.02 62.02 60.03°
Last column: nearest neighbours and their distance in Å.
Atoms (fractional coordinates):
Mg1 0.0000 0.0000 0.0000  6 Br 2.70
Sc1 0.5000 0.5000 0.5000  6 Br 2.66-2.67
Br1 0.0880 0.7468 0.7484  1 Sc 2.66, 1 Mg 2.70
Br2 0.2548 0.5835 0.2491  1 Sc 2.66, 1 Mg 2.70
Br3 0.4154 0.0893 0.7495  1 Sc 2.67, 1 Mg 2.70
Br4 0.5846 0.9107 0.2505  1 Sc 2.67, 1 Mg 2.70
Br5 0.7452 0.4165 0.7509  1 Sc 2.66, 1 Mg 2.70
Br6 0.9120 0.2532 0.2516  1 Sc 2.66, 1 Mg 2.70

Summary:
crystal system = triclinic

=====

Record 6
First-principles (PBE-GGA) data for a relaxed MgScBr crystal, as listed in the Alexandria database.

Cell: 5.0031 5.0031 5.0031 Å, 60.00 60.00 60.00°
Last column: nearest neighbours and their distance in Å.
Atoms (fractional coordinates):
Mg1 0.0000 0.0000 0.0000  4 Sc 3.06
Sc1 0.7500 0.7500 0.7500  4 Br 3.06, 4 Mg 3.06
Br1 0.5000 0.5000 0.5000  4 Sc 3.06

Summary:
crystal system = cubic

=====

Record 7
First-principles (PBE-GGA) data for a relaxed MgScBr crystal, as listed in the Alexandria database.

Cell: 4.7879 4.7879 3.7430 Å, 90.00 90.00 120.00°
Last column: nearest neighbours and their distance in Å.
Atoms (fractional coordinates):
Mg1 0.0000 0.0000 0.0000  6 Sc 3.34, 6 Br 3.34
Sc1 0.6667 0.3333 0.5000  3 Br 2.76
Br1 0.3333 0.6667 0.5000  3 Sc 2.76

Summary:
crystal system = hexagonal

=====

Record 8
First-principles (PBE-GGA) data for a relaxed MgScBr4 crystal, as listed in the Alexandria database.

Cell: 6.9321 3.8152 7.3849 Å, 90.00 107.63 90.00°
Last column: nearest neighbours and their distance in Å.
Atoms (fractional coordinates):
Mg1 0.0000 0.0000 0.0000  6 Br 2.69-2.72
Sc1 0.5000 0.5000 0.0000  6 Br 2.77
Br1 0.2345 0.5000 0.2153  2 Mg 2.69, 1 Sc 2.77
Br2 0.2485 0.0000 0.7770  1 Mg 2.72, 2 Sc 2.77
Br3 0.7515 0.0000 0.2230  1 Mg 2.72, 2 Sc 2.77
Br4 0.7655 0.5000 0.7847  2 Mg 2.69, 1 Sc 2.77

Summary:
crystal system = monoclinic

=====

Record 9
First-principles (PBE-GGA) data for a relaxed Mg2Sc2Br crystal, as listed in the Alexandria database.

Cell: 7.0273 7.0273 5.1004 Å, 90.00 90.00 90.00°
Last column: nearest neighbours and their distance in Å.
Atoms (fractional coordinates):
Mg1 0.1449 0.3551 0.0000  1 Mg 2.88
Mg2 0.3551 0.8551 0.0000  1 Mg 2.88
Mg3 0.6449 0.1449 0.0000  1 Mg 2.88
Mg4 0.8551 0.6449 0.0000  1 Mg 2.88
Sc1 0.1545 0.6545 0.5000  2 Br 2.66
Sc2 0.3455 0.1545 0.5000  2 Br 2.66
Sc3 0.6545 0.8455 0.5000  2 Br 2.66
Sc4 0.8455 0.3455 0.5000  2 Br 2.66
Br1 0.0000 0.0000 0.5000  4 Sc 2.66
Br2 0.5000 0.5000 0.5000  4 Sc 2.66

Summary:
crystal system = tetragonal

=====

Record 10
First-principles (PBE-GGA) data for a relaxed MgScBr crystal, as listed in the Alexandria database.

Cell: 4.7788 4.7788 4.7788 Å, 60.00 60.00 60.00°
Last column: nearest neighbours and their distance in Å.
Atoms (fractional coordinates):
Mg1 0.0000 0.0000 0.0000  4 Br 2.93
Sc1 0.5000 0.5000 0.5000  4 Br 2.93
Br1 0.2500 0.2500 0.2500  4 Sc 2.93, 4 Mg 2.93

Summary:
crystal system = cubic

=====

Record 11
First-principles (PBE-GGA) data for a relaxed MgScBr crystal, as listed in the Alexandria database.

Cell: 3.4736 3.4736 15.0442 Å, 90.00 90.00 120.00°
Last column: nearest neighbours and their distance in Å.
Atoms (fractional coordinates):
Mg1 0.0000 0.0000 0.0000  6 Sc 3.22, 6 Mg 3.47
Mg2 0.0000 0.0000 0.5000  2 Br 3.13, 6 Mg 3.47
Sc1 0.3333 0.6667 0.1678  3 Br 2.74
Sc2 0.3333 0.6667 0.8322  3 Br 2.74
Br1 0.0000 0.0000 0.2922  3 Sc 2.74
Br2 0.0000 0.0000 0.7078  3 Sc 2.74

Summary:
crystal system = hexagonal

=====

Record 12
First-principles (PBE-GGA) data for a relaxed MgScBr crystal, as listed in the Alexandria database.

Cell: 3.5085 3.5085 7.2696 Å, 90.00 90.00 120.00°
Last column: nearest neighbours and their distance in Å.
Atoms (fractional coordinates):
Mg1 0.0000 0.0000 0.0000  3 Sc 3.10
Sc1 0.6667 0.3333 0.3235  3 Br 2.76
Br1 0.3333 0.6667 0.5809  3 Sc 2.76

Summary:
crystal system = trigonal

=====

How do the records compare in raw formation energy? In the order shown, they have -0.4860; 0.0870; -0.3291; -0.5002; -1.2337; 0.1543; -0.2871; -1.4639; -0.2608; 0.0430; -0.5768; -0.5903 eV per atom.
How do the records compare in total energy? In the order shown, they have -20.03; -13.86; -38.50; -11.10; -27.83; -9.14; -10.46; -23.40; -37.66; -9.47; -22.66; -11.37 eV for the cell shown.